(1)
The following is a DFT calculation (PBE) of Y2Pd2Au after structural relaxation.

Calculated values
As for the space group: I4/mmm, No. 139. For the energy above the most stable polymorph in this dataset, the calculation gives 204 meV per atom.

Cell and atoms, written as POSCAR:
```
Y2Pd2Au
1.0
-2.663 2.663 4.031
2.663 -2.663 4.031
2.663 2.663 -4.031
Au Pd Y
1 2 2
direct
0.000 0.000 0.000 Au
0.343 0.343 0.000 Pd
0.657 0.657 0.000 Pd
0.750 0.250 0.500 Y
0.250 0.750 0.500 Y
```



(2)
The following is a DFT calculation (PBE) of Y2Pd2Au after structural relaxation.

Calculated values
As for the space group: I4/mmm, No. 139. For the energy above the most stable polymorph in this dataset, the calculation gives 363 meV per atom.

Cell and atoms, written as POSCAR:
```
Y2Pd2Au
1.0
6.453 2.978 0.998
3.115 3.406 5.496
-3.803 -5.642 -2.285
Au Pd Y
1 2 2
direct
0.000 0.000 0.000 Au
0.750 0.250 0.500 Pd
0.250 0.750 0.500 Pd
0.392 0.392 0.000 Y
0.608 0.608 0.000 Y
```



(3)
The following is a DFT calculation (PBE) of YPd2Au after structural relaxation.

Calculated values
As for the space group: F-43m, No. 216. Its total energy is -22.8 eV/f.u.

Cell and atoms, written as POSCAR:
```
YPd2Au
1.0
-0.084 2.564 3.978
1.195 4.579 -0.110
-3.314 3.326 0.603
Au Pd Y
1 2 1
direct
0.250 0.250 0.250 Au
0.000 0.000 0.000 Pd
0.750 0.750 0.750 Pd
0.500 0.500 0.500 Y
```



(4)
The following is a DFT calculation (PBE) of ZnPd2Au after structural relaxation.

Calculated values
As for the space group: Pnma, No. 62. Its total energy is -15.8 eV/f.u.

Cell and atoms, written as POSCAR:
```
ZnPd2Au
1.0
4.849 0.000 0.000
0.000 7.646 0.000
0.000 0.000 7.063
Au Pd Zn
4 8 4
direct
0.088 0.750 0.037 Au
0.588 0.250 0.463 Au
0.412 0.750 0.537 Au
0.912 0.250 0.963 Au
0.571 0.564 0.190 Pd
0.571 0.936 0.190 Pd
0.071 0.064 0.310 Pd
0.071 0.436 0.310 Pd
0.929 0.564 0.690 Pd
0.929 0.936 0.690 Pd
0.429 0.064 0.810 Pd
0.429 0.436 0.810 Pd
0.416 0.250 0.112 Zn
0.916 0.750 0.388 Zn
0.084 0.250 0.612 Zn
0.584 0.750 0.888 Zn
```



(5)
The following is a DFT calculation (PBE) of ZnPd2Au after structural relaxation.

Calculated values
As for the space group: P6_3/mmc, No. 194. Its total energy is -15.5 eV/f.u.

Cell and atoms, written as POSCAR:
```
ZnPd2Au
1.0
2.279 -3.947 0.000
2.279 3.947 0.000
0.000 0.000 7.748
Au Pd Zn
2 4 2
direct
0.000 0.000 0.000 Au
0.000 0.000 0.500 Au
0.667 0.333 0.078 Pd
0.667 0.333 0.422 Pd
0.333 0.667 0.578 Pd
0.333 0.667 0.922 Pd
0.333 0.667 0.250 Zn
0.667 0.333 0.750 Zn
```



(6)
The following is a DFT calculation (PBE) of ZnPdAu2 after structural relaxation.

Calculated values
As for the space group: F-43m, No. 216. Its total energy is -13.8 eV/f.u.

Cell and atoms, written as POSCAR:
```
ZnPdAu2
1.0
2.421 -3.676 -1.124
-0.363 -3.799 2.464
-2.080 -3.645 -1.739
Au Pd Zn
2 1 1
direct
0.000 0.000 0.000 Au
0.750 0.750 0.750 Au
0.250 0.250 0.250 Pd
0.500 0.500 0.500 Zn
```



(7)
The following is a DFT calculation (PBE) of ZnPd6Au2 after structural relaxation.

Calculated values
As for the space group: C2/m, No. 12. Its total energy is -40.6 eV/f.u.

Cell and atoms, written as POSCAR:
```
ZnPd6Au2
1.0
4.468 -2.003 0.000
4.468 2.003 0.000
-2.768 0.000 7.974
Au Pd Zn
2 6 1
direct
0.332 0.332 0.442 Au
0.668 0.668 0.558 Au
0.327 0.327 0.106 Pd
0.657 0.657 0.212 Pd
0.995 0.995 0.322 Pd
0.005 0.005 0.678 Pd
0.343 0.343 0.788 Pd
0.673 0.673 0.894 Pd
0.000 0.000 0.000 Zn
```



(8)
The following is a DFT calculation (PBE) of ZnPd2Au after structural relaxation.

Calculated values
As for the space group: P6_3/mmc, No. 194. Its total energy is -15.9 eV/f.u.

Cell and atoms, written as POSCAR:
```
ZnPd2Au
1.0
0.553 3.739 2.104
-3.842 -1.986 0.092
2.322 -4.176 6.812
Au Pd Zn
2 4 2
direct
0.333 0.667 0.250 Au
0.667 0.333 0.750 Au
0.667 0.333 0.085 Pd
0.667 0.333 0.415 Pd
0.333 0.667 0.585 Pd
0.333 0.667 0.915 Pd
0.000 0.000 0.000 Zn
0.000 0.000 0.500 Zn
```



(9)
The following is a DFT calculation (PBE) of Zn2PdAu after structural relaxation.

Calculated values
As for the space group: P4/mmm, No. 123. Its total energy is -12.5 eV/f.u.

Cell and atoms, written as POSCAR:
```
Zn2PdAu
1.0
4.127 0.000 0.000
0.000 4.127 0.000
0.000 0.000 3.577
Au Pd Zn
1 1 2
direct
0.000 0.000 0.000 Au
0.500 0.500 0.000 Pd
0.500 0.000 0.500 Zn
0.000 0.500 0.500 Zn
```



(10)
The following is a DFT calculation (PBE) of ZnPd2Au after structural relaxation.

Calculated values
As for the space group: I4/mmm, No. 139. Its total energy is -16.3 eV/f.u.

Cell and atoms, written as POSCAR:
```
ZnPd2Au
1.0
-4.113 -0.947 0.826
1.641 -6.604 0.598
2.144 1.674 12.599
Au Pd Zn
6 12 6
direct
0.000 0.500 0.000 Au
0.500 0.000 0.167 Au
0.000 0.500 0.333 Au
0.500 0.000 0.500 Au
0.000 0.500 0.667 Au
0.500 0.000 0.833 Au
0.500 0.250 0.000 Pd
0.500 0.750 0.000 Pd
0.000 0.250 0.167 Pd
0.000 0.750 0.167 Pd
0.500 0.250 0.333 Pd
0.500 0.750 0.333 Pd
0.000 0.250 0.500 Pd
0.000 0.750 0.500 Pd
0.500 0.250 0.667 Pd
0.500 0.750 0.667 Pd
0.000 0.250 0.833 Pd
0.000 0.750 0.833 Pd
0.000 0.000 0.000 Zn
0.500 0.500 0.167 Zn
0.000 0.000 0.333 Zn
0.500 0.500 0.500 Zn
0.000 0.000 0.667 Zn
0.500 0.500 0.833 Zn
```



(11)
The following is a DFT calculation (PBE) of Zn2PdAu after structural relaxation.

Calculated values
As for the space group: F-43m, No. 216. Its total energy is -12.0 eV/f.u.

Cell and atoms, written as POSCAR:
```
Zn2PdAu
1.0
0.000 3.147 3.147
3.147 0.000 3.147
3.147 3.147 0.000
Au Pd Zn
1 1 2
direct
0.250 0.250 0.250 Au
0.500 0.500 0.500 Pd
0.000 0.000 0.000 Zn
0.750 0.750 0.750 Zn
```



(12)
The following is a DFT calculation (PBE) of ZnPd2Au after structural relaxation.

Calculated values
As for the space group: F-43m, No. 216. Its total energy is -16.0 eV/f.u.

Cell and atoms, written as POSCAR:
```
ZnPd2Au
1.0
0.000 3.162 3.162
3.162 0.000 3.162
3.162 3.162 0.000
Au Pd Zn
1 2 1
direct
0.250 0.250 0.250 Au
0.000 0.000 0.000 Pd
0.750 0.750 0.750 Pd
0.500 0.500 0.500 Zn
```



Copy entry 12 word for word.
The following is a DFT calculation (PBE) of ZnPd2Au after structural relaxation.

Calculated values
As for the space group: F-43m, No. 216. Its total energy is -16.0 eV/f.u.

Cell and atoms, written as POSCAR:
```
ZnPd2Au
1.0
0.000 3.162 3.162
3.162 0.000 3.162
3.162 3.162 0.000
Au Pd Zn
1 2 1
direct
0.250 0.250 0.250 Au
0.000 0.000 0.000 Pd
0.750 0.750 0.750 Pd
0.500 0.500 0.500 Zn
```



Please write out number 1 again, unchanged.
The following is a DFT calculation (PBE) of Y2Pd2Au after structural relaxation.

Calculated values
As for the space group: I4/mmm, No. 139. For the energy above the most stable polymorph in this dataset, the calculation gives 204 meV per atom.

Cell and atoms, written as POSCAR:
```
Y2Pd2Au
1.0
-2.663 2.663 4.031
2.663 -2.663 4.031
2.663 2.663 -4.031
Au Pd Y
1 2 2
direct
0.000 0.000 0.000 Au
0.343 0.343 0.000 Pd
0.657 0.657 0.000 Pd
0.750 0.250 0.500 Y
0.250 0.750 0.500 Y
```